1.
## CaLa2Sm6 (PBE)

Data for an optimized crystal structure of CaLa2Sm6.

Summary:
- M_tot: 0.00 μB per cell
- Energy relative to the elements: 3.3 kJ per mole of atoms

abc: 7.3932 9.1884 9.7784
angles: 103.19 100.79 90.03
Space group P-1 (No. 2)
Asymmetric unit:
Ca: 0.2124 0.3351 0.3562 x2
La: 0.3781 0.3346 0.0159 x2
La: 0.4200 0.9946 0.1654 x2
Sm: 0.0436 0.3269 0.6877 x2
Sm: 0.0850 0.0012 0.8344 x2
Sm: 0.1215 0.6665 0.9831 x2
Sm: 0.2489 0.9921 0.5034 x2
Sm: 0.2845 0.6701 0.6500 x2
Sm: 0.4516 0.6717 0.3160 x2



2.
## CaLa5Sm (PBE)

Data for an optimized crystal structure of CaLa5Sm.

Summary:
- M_tot: 0.00 μB per cell
- Energy relative to the elements: 26.8 kJ per mole of atoms

abc: 5.7328 5.7328 8.3814
angles: 90.00 90.00 90.00
Space group P4/mmm (No. 123)
Asymmetric unit:
Ca: 0.0000 0.0000 0.0000 x1
La: 0.0000 0.5000 0.2891 x4
La: 0.5000 0.5000 0.0000 x1
Sm: 0.0000 0.0000 0.5000 x1



3.
## CaLa3Sm (PBE)

Data for an optimized crystal structure of CaLa3Sm.

Summary:
- M_tot: 0.00 μB per cell
- Energy relative to the elements: 7.1 kJ per mole of atoms

abc: 18.7693 5.7571 7.3880
angles: 90.00 112.46 90.00
Space group C2/m (No. 12)
Asymmetric unit:
Ca: 0.1076 0.0000 0.1080 x4
La: 0.0030 0.5000 0.2680 x4
La: 0.1042 0.0000 0.6100 x4
La: 0.2050 0.5000 0.4501 x4
Sm: 0.2003 0.5000 0.9470 x4



4.
## CaLa2Sm5 (PBE)

Data for an optimized crystal structure of CaLa2Sm5.

Summary:
- M_tot: 0.00 μB per cell
- Energy relative to the elements: 6.3 kJ per mole of atoms

abc: 3.6726 11.5303 13.5506
angles: 90.00 90.00 90.00
Space group Immm (No. 71)
Asymmetric unit:
Ca: 0.0000 0.0000 0.0000 x2
La: 0.0000 0.5000 0.2567 x4
Sm: 0.0000 0.2288 0.3679 x8
Sm: 0.0000 0.5000 0.0000 x2



5.
## CaLa3Sm8 (PBE)

Data for an optimized crystal structure of CaLa3Sm8.

Summary:
- M_tot: 0.01 μB per cell
- Energy relative to the elements: 56.0 kJ per mole of atoms

abc: 8.8900 8.8900 11.8910
angles: 90.00 90.00 90.00
Space group I-42m (No. 121)
Asymmetric unit:
Ca: 0.0000 0.0000 0.0000 x2
La: 0.0000 0.0000 0.5000 x2
La: 0.0000 0.5000 0.2500 x4
Sm: 0.1334 0.1334 0.7298 x8
Sm: 0.2330 0.2330 0.4631 x8



6.
## CaLa6Sm8 (PBE)

Data for an optimized crystal structure of CaLa6Sm8.

Summary:
- M_tot: 0.00 μB per cell
- Energy relative to the elements: 13.5 kJ per mole of atoms

abc: 9.9592 9.9592 18.6350
angles: 90.00 90.00 120.00
Space group R-3 (No. 148, hexagonal axes)
Asymmetric unit:
Ca: 0.0000 0.0000 0.0000 x3
La: 0.0215 0.2388 0.4052 x18
Sm: 0.0000 0.0000 0.2274 x6
Sm: 0.0451 0.2833 0.9010 x18



7.
## CaLa4Sm (PBE)

Data for an optimized crystal structure of CaLa4Sm.

Summary:
- M_tot: 0.01 μB per cell
- Energy relative to the elements: 19.2 kJ per mole of atoms

abc: 9.7411 9.7411 9.7411
angles: 90.00 90.00 90.00
Space group F-43m (No. 216)
Asymmetric unit:
Ca: 0.0000 0.0000 0.0000 x4
La: 0.1220 0.1220 0.3780 x16
Sm: 0.2500 0.2500 0.7500 x4



8.
## CaLaSm (PBE)

Data for an optimized crystal structure of CaLaSm.

Summary:
- M_tot: 0.00 μB per cell
- Energy relative to the elements: 3.7 kJ per mole of atoms

abc: 3.7560 3.7560 15.9349
angles: 90.00 90.00 90.00
Space group I4mm (No. 107)
Asymmetric unit:
Ca: 0.0000 0.0000 0.0000 x2
La: 0.0000 0.0000 0.3211 x2
Sm: 0.0000 0.0000 0.6706 x2



9.
## CaLa3Sm (PBE)

Data for an optimized crystal structure of CaLa3Sm.

Summary:
- M_tot: 0.00 μB per cell
- Energy relative to the elements: 6.2 kJ per mole of atoms

abc: 16.1506 13.9343 6.8513
angles: 90.00 104.78 90.00
Space group C2/c (No. 15)
Asymmetric unit:
Ca: 0.1024 0.0705 0.4474 x8
La: 0.0932 0.2000 0.9415 x8
La: 0.1909 0.4318 0.1408 x8
La: 0.2005 0.3090 0.6527 x8
Sm: 0.0000 0.3195 0.2500 x4
Sm: 0.0000 0.4307 0.7500 x4



10.
## Ca2La4Sm3 (PBE)

Data for an optimized crystal structure of Ca2La4Sm3.

Summary:
- M_tot: 0.00 μB per cell
- Energy relative to the elements: 16.4 kJ per mole of atoms

abc: 8.6021 9.1363 9.1825
angles: 90.00 112.87 90.00
Space group P2_1/c (No. 14)
Asymmetric unit:
Ca: 0.1729 0.1480 0.0487 x4
La: 0.0772 0.5332 0.8702 x4
La: 0.4783 0.1335 0.8524 x4
Sm: 0.2547 0.6835 0.2568 x4
Sm: 0.5000 0.0000 0.5000 x2



11.
## CaLa2Sm2 (PBE)

Data for an optimized crystal structure of CaLa2Sm2.

Summary:
- M_tot: 0.00 μB per cell
- Energy relative to the elements: 2.4 kJ per mole of atoms

abc: 3.7075 3.7075 46.1014
angles: 90.00 90.00 120.00
Space group R-3m (No. 166, hexagonal axes)
Asymmetric unit:
Ca: 0.0000 0.0000 0.0000 x3
La: 0.0000 0.0000 0.4042 x6
Sm: 0.0000 0.0000 0.1987 x6



12.
## Ca2La3Sm2 (PBE)

Data for an optimized crystal structure of Ca2La3Sm2.

Summary:
- M_tot: 0.00 μB per cell
- Energy relative to the elements: 5.5 kJ per mole of atoms

abc: 11.7300 5.2895 8.5382
angles: 90.00 98.58 90.00
Space group C2/m (No. 12)
Asymmetric unit:
Ca: 0.1430 0.0000 0.4292 x4
La: 0.0000 0.0000 0.0000 x2
La: 0.0724 0.5000 0.7372 x4
Sm: 0.2164 0.5000 0.1310 x4